(1)
Computed, not measured: crystalline InCuAu4 at its relaxed geometry at the PBE-GGA level of DFT.

## Properties
For the excess energy over the best structure of this formula in the dataset, the calculation gives 0.01 eV per formula unit. For the spin magnetization, the calculation gives 0.0 Bohr magnetons per cell.

abc: 7.625 4.966 5.826
angles: 90.00 100.91 90.00
Space group C2/m (No. 12)
Symmetry-distinct sites (fractional):
In  0.000  0.000  0.000 (multiplicity 2)
Cu  0.000  0.000  0.500 (multiplicity 2)
Au  0.169  0.500  0.655 (multiplicity 4)
Au  0.172  0.500  0.171 (multiplicity 4)

=====

(2)
Computed, not measured: crystalline InCu6Au3 at its relaxed geometry at the PBE-GGA level of DFT.

## Properties
The calculation puts the total energy at -3.65 eV/atom. For the spin magnetization, the calculation gives 0.0 Bohr magnetons per cell.

abc: 20.994 5.274 2.796
angles: 90.00 96.78 90.00
Space group C2/m (No. 12)
Symmetry-distinct sites (fractional):
In  0.000  0.000  0.000 (multiplicity 2)
Cu  0.109  0.245  0.622 (multiplicity 8)
Cu  0.187  0.500  0.192 (multiplicity 4)
Au  0.000  0.500  0.500 (multiplicity 2)
Au  0.203  0.000  0.207 (multiplicity 4)

=====

(3)
Computed, not measured: crystalline InCu7Au12 at its relaxed geometry at the PBE-GGA level of DFT.

## Properties
The calculation puts the total energy at -3.54 eV/atom. For the spin magnetization, the calculation gives 0.0 Bohr magnetons per cell.

abc: 11.8220 11.8220 8.2568
angles: 90.00 90.00 120.00
Space group R-3 (No. 148, hexagonal axes)
Symmetry-distinct sites (fractional):
In  0.0000  0.0000  0.0000 (multiplicity 3)
Cu  0.0000  0.0000  0.5000 (multiplicity 3)
Cu  0.0649  0.2491  0.9132 (multiplicity 18)
Au  0.0501  0.2116  0.2342 (multiplicity 18)
Au  0.0559  0.2432  0.5862 (multiplicity 18)

=====

(4)
Computed, not measured: crystalline InCu2Au at its relaxed geometry at the PBE-GGA level of DFT.

## Properties
The calculation puts the total energy at -3.55 eV/atom. For the spin magnetization, the calculation gives 0.0 Bohr magnetons per cell.

abc: 3.143 3.527 5.819
angles: 90.00 90.00 90.00
Space group Pmmm (No. 47)
Symmetry-distinct sites (fractional):
In  0.000  0.000  0.000 (multiplicity 1)
Cu  0.500  0.500  0.263 (multiplicity 2)
Au  0.000  0.000  0.500 (multiplicity 1)

=====

(5)
Computed, not measured: crystalline InCu2Au at its relaxed geometry at the PBE-GGA level of DFT.

## Properties
The calculation puts the total energy at -3.55 eV/atom. For the spin magnetization, the calculation gives 0.0 Bohr magnetons per cell.

abc: 6.374 6.374 6.374
angles: 90.00 90.00 90.00
Space group F-43m (No. 216)
Symmetry-distinct sites (fractional):
In  0.000  0.000  0.000 (multiplicity 4)
Cu  0.000  0.000  0.500 (multiplicity 4)
Cu  0.250  0.250  0.250 (multiplicity 4)
Au  0.250  0.250  0.750 (multiplicity 4)

=====

(6)
Computed, not measured: crystalline InCu2Au at its relaxed geometry at the PBE-GGA level of DFT.

## Properties
The calculation puts the total energy at -3.39 eV/atom. For the spin magnetization, the calculation gives 0.0 Bohr magnetons per cell.

abc: 3.1447 3.1447 23.9682
angles: 90.00 90.00 120.00
Space group R3m (No. 160, hexagonal axes)
Symmetry-distinct sites (fractional):
In  0.0000  0.0000  0.0000 (multiplicity 3)
Cu  0.0000  0.0000  0.2481 (multiplicity 3)
Cu  0.0000  0.0000  0.5107 (multiplicity 3)
Au  0.0000  0.0000  0.7633 (multiplicity 3)